Entry 1:
TbY2In2: optimized geometry, PBE.

Summary:
Energy above the lowest structure with this stoichiometry in eV/f.u.: 0.00
Total magnetic moment in Bohr magnetons per cell: 0.00
Space-group type: P2_1/m (11)
E_form in eV/atom: -0.400
Final energy in Ry per atom: -0.36800
DOS at the Fermi energy in states/eV per cell: 8.9

Lattice parameters (Å, degrees): 3.7714 5.3557 13.9958 90.00 97.76 90.00
Closest atoms and distances in Å follow each position.
Fractional coordinates of all 10 atoms:
1 In 0.5496 0.2500 0.0989  6 Y 3.28-3.30, 2 Tb 3.33
2 In 0.3566 0.2500 0.7122  4 Y 3.19-3.26, 4 Tb 3.28
3 In 0.4504 0.7500 0.9011  6 Y 3.28-3.30, 2 Tb 3.33
4 In 0.6434 0.7500 0.2878  4 Y 3.19-3.26, 4 Tb 3.28
5 Tb 0.1477 0.2500 0.2968  6 In 3.28-3.33, 2 Y 3.63
6 Tb 0.8523 0.7500 0.7032  6 In 3.28-3.33, 2 Y 3.63
7 Y 0.2368 0.7500 0.4738  2 In 3.19-3.20, 4 Y 3.35-3.36
8 Y 0.7632 0.2500 0.5262  2 In 3.19-3.20, 4 Y 3.35-3.36
9 Y 0.9517 0.2500 0.9036  8 In 3.25-3.30
10 Y 0.0483 0.7500 0.0964  8 In 3.25-3.30

Entry 2:
Tb2Y3In: optimized geometry, PBE.

Summary:
Energy above the lowest structure with this stoichiometry in eV/f.u.: 0.00
Total magnetic moment in Bohr magnetons per cell: 0.00
Space-group type: Cmmm (65)
E_form in eV/atom: -0.162
Final energy in Ry per atom: -0.39642
DOS at the Fermi energy in states/eV per cell: 7.4

Lattice parameters (Å, degrees): 4.8758 4.8857 7.9677 107.85 90.00 90.00
Closest atoms and distances in Å follow each position.
Fractional coordinates of all 6 atoms:
1 Y 0.5000 0.1669 0.3337  6 Tb 3.45-3.56, 4 Y 3.51-3.52, 2 In 3.51
2 Y 0.5000 0.5000 0.0000  4 In 3.45, 4 Tb 3.46, 4 Y 3.52
3 Y 0.5000 0.8331 0.6663  6 Tb 3.45-3.56, 4 Y 3.51-3.52, 2 In 3.51
4 Tb 0.0000 0.6621 0.3242  8 Y 3.45-3.56, 2 In 3.47, 2 Tb 3.62
5 Tb 0.0000 0.3379 0.6758  8 Y 3.45-3.56, 2 In 3.47, 2 Tb 3.62
6 In 0.0000 0.0000 0.0000  8 Y 3.45-3.51, 4 Tb 3.47

Entry 3:
TbY9In2: optimized geometry, PBE.

Summary:
Total magnetic moment in Bohr magnetons per cell: 0.00
Space-group type: P4/mmm (123)
E_form in eV/atom: -0.169
Final energy in Ry per atom: -0.43064
DOS at the Fermi energy in states/eV per cell: 15.8

Lattice parameters (Å, degrees): 4.8896 4.8896 15.0501 90.00 90.00 90.00
Closest atoms and distances in Å follow each position.
Fractional coordinates of all 12 atoms:
1 In 0.0000 0.0000 0.3393  12 Y 3.44-3.49
2 In 0.0000 0.0000 0.6607  12 Y 3.44-3.49
3 Y 0.0000 0.5000 0.8263  8 Y 3.46-3.58, 2 In 3.49, 2 Tb 3.58
4 Y 0.0000 0.5000 0.5000  4 In 3.44, 8 Y 3.45-3.46
5 Y 0.5000 0.0000 0.1737  8 Y 3.46-3.58, 2 In 3.49, 2 Tb 3.58
6 Y 0.5000 0.0000 0.8263  8 Y 3.46-3.58, 2 In 3.49, 2 Tb 3.58
7 Y 0.5000 0.0000 0.5000  4 In 3.44, 8 Y 3.45-3.46
8 Y 0.5000 0.5000 0.0000  4 Tb 3.46, 8 Y 3.58
9 Y 0.5000 0.5000 0.6615  8 Y 3.45-3.48, 4 In 3.46
10 Y 0.5000 0.5000 0.3385  8 Y 3.45-3.48, 4 In 3.46
11 Y 0.0000 0.5000 0.1737  8 Y 3.46-3.58, 2 In 3.49, 2 Tb 3.58
12 Tb 0.0000 0.0000 0.0000  12 Y 3.46-3.58

Entry 4:
Tb6Y3In: optimized geometry, PBE.

Summary:
Energy above the lowest structure with this stoichiometry in eV/f.u.: 1.91
Total magnetic moment in Bohr magnetons per cell: 0.00
Space-group type: P2_1/m (11)
E_form in eV/atom: 0.196
Final energy in Ry per atom: -0.35248
DOS at the Fermi energy in states/eV per cell: 27.9

Lattice parameters (Å, degrees): 5.3197 15.7144 10.7378 130.84 90.00 90.00
Closest atoms and distances in Å follow each position.
Fractional coordinates of all 20 atoms:
1 Y 0.7500 0.5109 0.6245  1 In 3.26, 4 Tb 3.38-3.60, 2 Y 3.62
2 Y 0.2500 0.2002 0.6018  1 Tb 3.05, 1 In 3.10
3 Y 0.7500 0.2016 0.2747  2 Tb 3.08
4 Y 0.7500 0.7998 0.3982  1 Tb 3.05, 1 In 3.10
5 Y 0.2500 0.4891 0.3755  1 In 3.26, 4 Tb 3.38-3.60, 2 Y 3.62
6 Y 0.2500 0.7984 0.7253  2 Tb 3.08
7 In 0.7500 0.6442 0.0176  2 Y 3.10-3.26, 6 Tb 3.14-3.32
8 In 0.2500 0.3558 0.9824  2 Y 3.10-3.26, 6 Tb 3.14-3.32
9 Tb 0.7500 0.8116 0.9503  1 In 3.15, 2 Tb 3.42-3.46, 2 Y 3.51
10 Tb 0.2500 0.9883 0.6151  3 Y 3.43-3.50, 8 Tb 3.53-3.81
11 Tb 0.7500 0.0117 0.3849  3 Y 3.43-3.50, 8 Tb 3.53-3.81
12 Tb 0.7500 0.6856 0.5431  4 Y 3.05-3.38, 1 Tb 3.37
13 Tb 0.2500 0.3144 0.4569  4 Y 3.05-3.38, 1 Tb 3.37
14 Tb 0.2500 0.5044 0.8720  3 In 3.14-3.24, 1 Tb 3.37
15 Tb 0.2500 0.8117 0.1794  2 In 3.32, 7 Tb 3.47-3.66, 2 Y 3.63
16 Tb 0.7500 0.4956 0.1280  3 In 3.14-3.24, 1 Tb 3.37
17 Tb 0.2500 0.0189 0.1500  7 Tb 3.46-3.72, 4 Y 3.48-3.69
18 Tb 0.7500 0.9811 0.8500  7 Tb 3.46-3.72, 4 Y 3.48-3.69
19 Tb 0.7500 0.1883 0.8206  2 In 3.32, 7 Tb 3.47-3.66, 2 Y 3.63
20 Tb 0.2500 0.1884 0.0497  1 In 3.15, 2 Tb 3.42-3.46, 2 Y 3.51

Entry 5:
Tb6YIn2: optimized geometry, PBE.

Summary:
Energy above the lowest structure with this stoichiometry in eV/f.u.: 1.38
Total magnetic moment in Bohr magnetons per cell: 0.00
Space-group type: Immm (71)
E_form in eV/atom: -0.047
Final energy in Ry per atom: -0.32787
DOS at the Fermi energy in states/eV per cell: 12.4

Lattice parameters (Å, degrees): 3.4003 9.8293 9.8293 56.46 80.06 80.06
Closest atoms and distances in Å follow each position.
Fractional coordinates of all 9 atoms:
1 Tb 0.5000 0.3356 0.6644  5 Tb 3.06-3.40
2 Tb 0.6699 0.6427 0.0173  6 Tb 3.20-3.48, 3 In 3.38-3.47
3 Tb 0.3301 0.9827 0.3573  6 Tb 3.20-3.48, 3 In 3.38-3.47
4 Tb 0.6699 0.0173 0.6427  6 Tb 3.20-3.48, 3 In 3.38-3.47
5 Tb 0.3301 0.3573 0.9827  6 Tb 3.20-3.48, 3 In 3.38-3.47
6 Tb 0.5000 0.6644 0.3356  5 Tb 3.06-3.40
7 Y 0.0000 0.0000 0.0000  2 Y 3.40, 12 Tb 3.55-3.78
8 In 0.1530 0.3469 0.3469  10 Tb 3.38-3.47, 2 In 3.40
9 In 0.8470 0.6531 0.6531  10 Tb 3.38-3.47, 2 In 3.40

Entry 6:
Tb3Y12In: optimized geometry, PBE.

Summary:
Total magnetic moment in Bohr magnetons per cell: 0.04
Space-group type: P4/mmm (123)
E_form in eV/atom: -0.045
Final energy in Ry per atom: -0.43600
DOS at the Fermi energy in states/eV per cell: 20.7

Lattice parameters (Å, degrees): 4.9824 4.9824 20.2623 90.00 90.00 90.00
Closest atoms and distances in Å follow each position.
Fractional coordinates of all 16 atoms:
1 Tb 0.0000 0.0000 0.2484  12 Y 3.52-3.60
2 Tb 0.0000 0.0000 0.5000  12 Y 3.52-3.58
3 Tb 0.0000 0.0000 0.7516  12 Y 3.52-3.60
4 Y 0.5000 0.0000 0.3734  8 Y 3.52-3.62, 4 Tb 3.55-3.58
5 Y 0.5000 0.0000 0.6266  8 Y 3.52-3.62, 4 Tb 3.55-3.58
6 Y 0.0000 0.5000 0.6266  8 Y 3.52-3.62, 4 Tb 3.55-3.58
7 Y 0.0000 0.5000 0.8797  2 In 3.49, 8 Y 3.49-3.53, 2 Tb 3.60
8 Y 0.5000 0.0000 0.8797  2 In 3.49, 8 Y 3.49-3.53, 2 Tb 3.60
9 Y 0.5000 0.5000 0.5000  4 Tb 3.52, 8 Y 3.58
10 Y 0.0000 0.5000 0.1203  2 In 3.49, 8 Y 3.49-3.53, 2 Tb 3.60
11 Y 0.5000 0.0000 0.1203  2 In 3.49, 8 Y 3.49-3.53, 2 Tb 3.60
12 Y 0.5000 0.5000 0.7560  4 Tb 3.52, 8 Y 3.53-3.62
13 Y 0.5000 0.5000 0.0000  8 Y 3.49, 4 In 3.52
14 Y 0.0000 0.5000 0.3734  8 Y 3.52-3.62, 4 Tb 3.55-3.58
15 Y 0.5000 0.5000 0.2440  4 Tb 3.52, 8 Y 3.53-3.62
16 In 0.0000 0.0000 0.0000  12 Y 3.49-3.52

Entry 7:
TbYIn2: optimized geometry, PBE.

Summary:
Total magnetic moment in Bohr magnetons per cell: 0.00
Space-group type: P4/mmm (123)
E_form in eV/atom: -0.488
Final energy in Ry per atom: -0.34038
DOS at the Fermi energy in states/eV per cell: 2.5

Lattice parameters (Å, degrees): 3.7688 3.7688 7.5533 90.00 90.00 90.00
Closest atoms and distances in Å follow each position.
Fractional coordinates of all 4 atoms:
1 In 0.0000 0.0000 0.2509  4 Y 3.26, 4 Tb 3.27
2 In 0.0000 0.0000 0.7491  4 Y 3.26, 4 Tb 3.27
3 Tb 0.5000 0.5000 0.0000  8 In 3.27
4 Y 0.5000 0.5000 0.5000  8 In 3.26

Entry 8:
Tb12Y2In: optimized geometry, PBE.

Summary:
Total magnetic moment in Bohr magnetons per cell: 0.00
Space-group type: C2/m (12)
E_form in eV/atom: 0.044
Final energy in Ry per atom: -0.34578
DOS at the Fermi energy in states/eV per cell: 38.2

Lattice parameters (Å, degrees): 6.6759 6.6759 23.9835 85.57 94.43 64.56
Closest atoms and distances in Å follow each position.
Fractional coordinates of all 30 atoms:
1 Tb 0.9698 0.0468 0.6748  6 Tb 3.19-3.57, 2 Y 3.40-3.51
2 Tb 0.2329 0.2671 0.8508  1 In 3.31, 4 Tb 3.45-3.52, 2 Y 3.55-3.58
3 Tb 0.7532 0.7468 0.9002  2 In 3.19-3.28, 6 Tb 3.39-3.57
4 Tb 0.3230 0.6357 0.9357  3 In 3.27-3.65, 8 Tb 3.40-3.60
5 Tb 0.0468 0.9698 0.3252  6 Tb 3.19-3.57, 2 Y 3.40-3.51
6 Tb 0.8353 0.1414 0.4431  10 Tb 3.24-3.58
7 Tb 0.8643 0.1770 0.9357  3 In 3.27-3.65, 8 Tb 3.40-3.60
8 Tb 0.6469 0.8531 0.5719  5 Tb 3.30-3.42
9 Tb 0.4618 0.6050 0.1929  4 Tb 3.19-3.45
10 Tb 0.6647 0.3586 0.5569  10 Tb 3.24-3.58
11 Tb 0.1770 0.8643 0.0643  3 In 3.27-3.65, 8 Tb 3.40-3.60
12 Tb 0.6050 0.4618 0.8071  4 Tb 3.19-3.45
13 Tb 0.4532 0.5302 0.6748  6 Tb 3.19-3.57, 2 Y 3.40-3.51
14 Tb 0.8531 0.6469 0.4281  5 Tb 3.30-3.42
15 Tb 0.6357 0.3230 0.0643  3 In 3.27-3.65, 8 Tb 3.40-3.60
16 Tb 0.5302 0.4532 0.3252  6 Tb 3.19-3.57, 2 Y 3.40-3.51
17 Tb 0.1747 0.3253 0.5789  7 Tb 3.31-3.55, 1 Y 3.70
18 Tb 0.1414 0.8353 0.5569  10 Tb 3.24-3.58
19 Tb 0.8950 0.0382 0.1929  4 Tb 3.19-3.45
20 Tb 0.3253 0.1747 0.4211  7 Tb 3.31-3.55, 1 Y 3.70
21 Tb 0.3586 0.6647 0.4431  10 Tb 3.24-3.58
22 Tb 0.7468 0.7532 0.0998  2 In 3.19-3.28, 6 Tb 3.39-3.57
23 Tb 0.0382 0.8950 0.8071  4 Tb 3.19-3.45
24 Tb 0.2671 0.2329 0.1492  1 In 3.31, 4 Tb 3.45-3.52, 2 Y 3.55-3.58
25 In 0.4418 0.0582 0.9832  1 In 2.96, 5 Tb 3.19-3.31
26 In 0.0582 0.4418 0.0168  1 In 2.96, 5 Tb 3.19-3.31
27 Y 0.0027 0.4973 0.2654  2 Y 3.51-3.69, 9 Tb 3.58-3.93
28 Y 0.5258 0.9742 0.2871  8 Tb 3.40-3.70, 2 Y 3.51-3.69
29 Y 0.4973 0.0027 0.7346  2 Y 3.51-3.69, 9 Tb 3.58-3.93
30 Y 0.9742 0.5258 0.7129  8 Tb 3.40-3.70, 2 Y 3.51-3.69

Entry 9:
Tb2YIn9: optimized geometry, PBE.

Summary:
Total magnetic moment in Bohr magnetons per cell: 0.00
Space-group type: P4/mmm (123)
E_form in eV/atom: -0.428
Final energy in Ry per atom: -0.27871
DOS at the Fermi energy in states/eV per cell: 4.2

Lattice parameters (Å, degrees): 4.6455 4.6455 13.9328 90.00 90.00 90.00
Closest atoms and distances in Å follow each position.
Fractional coordinates of all 12 atoms:
1 In 0.0000 0.5000 0.1668  8 In 3.28-3.29, 2 Tb 3.28, 2 Y 3.29
2 In 0.5000 0.5000 0.6667  8 In 3.28, 4 Tb 3.28
3 In 0.5000 0.5000 0.0000  4 Y 3.28, 8 In 3.29
4 In 0.0000 0.5000 0.8332  8 In 3.28-3.29, 2 Tb 3.28, 2 Y 3.29
5 In 0.5000 0.0000 0.5000  4 Tb 3.28, 8 In 3.28
6 In 0.5000 0.0000 0.1668  8 In 3.28-3.29, 2 Tb 3.28, 2 Y 3.29
7 In 0.5000 0.0000 0.8332  8 In 3.28-3.29, 2 Tb 3.28, 2 Y 3.29
8 In 0.5000 0.5000 0.3333  8 In 3.28, 4 Tb 3.28
9 In 0.0000 0.5000 0.5000  4 Tb 3.28, 8 In 3.28
10 Y 0.0000 0.0000 0.0000  12 In 3.28-3.29
11 Tb 0.0000 0.0000 0.6666  12 In 3.28
12 Tb 0.0000 0.0000 0.3334  12 In 3.28